Entry from the Alexandria database: AcGa3PtAu after structural relaxation (PBE).

Computed properties:
ΔH_f (0 K)   -0.4835 eV/atom
Density   9.48 Mg/m³
Total moment   0.0 μB per formula unit

Cell lengths 6.5843, 13.7971, 6.3874 Å; angles 90.00, 90.00, 90.00 degrees
Space group Cmcm (No. 63)
Symmetry-distinct sites (fractional):
Ac1 0.0000 0.1981 0.2500 [4 per cell]
Ga1 0.0000 0.2113 0.7500 [4 per cell]
Ga2 0.2113 0.5000 0.0000 [8 per cell]
Pt1 0.0000 0.0386 0.7500 [4 per cell]
Au1 0.0000 0.3867 0.7500 [4 per cell]